Model A:
{
  "formula": "Sr2HgCl",
  "functional": "SCAN",
  "state": "PBEsol geometry",
  "dos_ef_per_ev_atom": 0.665,
  "sg": "No. 216",
  "total_magnetization_mub_per_fu": 1.0,
  "volume_a3_per_cell": 126.7,
  "lattice_angstrom": [[0.000, 3.986, 3.986], [3.986, 0.000, 3.986], [3.986, 3.986, 0.000]],
  "species": ["Sr", "Sr", "Hg", "Cl"],
  "fractional_positions": [[0.000, 0.000, 0.000], [0.250, 0.250, 0.250], [0.750, 0.750, 0.750], [0.500, 0.500, 0.500]]
}

=====

Model B:
{
  "formula": "Sr2HgCl",
  "functional": "SCAN",
  "state": "PBEsol geometry",
  "dos_ef_per_ev_atom": 0.888,
  "sg": "No. 225",
  "total_magnetization_mub_per_fu": 1.1,
  "volume_a3_per_cell": 121.5,
  "lattice_angstrom": [[0.000, 3.931, 3.931], [3.931, 0.000, 3.931], [3.931, 3.931, 0.000]],
  "species": ["Sr", "Sr", "Hg", "Cl"],
  "fractional_positions": [[0.250, 0.250, 0.250], [0.750, 0.750, 0.750], [0.000, 0.000, 0.000], [0.500, 0.500, 0.500]]
}

=====

Model C:
{
  "formula": "Sr2HgCl",
  "functional": "SCAN",
  "state": "PBEsol geometry",
  "dos_ef_per_ev_atom": 0.642,
  "sg": "No. 123",
  "total_magnetization_mub_per_fu": 0.0,
  "volume_a3_per_cell": 128.4,
  "lattice_angstrom": [[4.444, 0.000, 0.000], [0.000, 4.444, 0.000], [0.000, 0.000, 6.501]],
  "species": ["Sr", "Sr", "Hg", "Cl"],
  "fractional_positions": [[0.000, 0.000, 0.000], [0.500, 0.500, 0.500], [0.000, 0.000, 0.500], [0.500, 0.500, 0.000]]
}

=====

Which is the most stable structure? model C is the most stable.

=====

Model A:
{
  "formula": "HgTe2Cl",
  "functional": "SCAN",
  "state": "PBEsol geometry",
  "dos_ef_per_ev_atom": 0.759,
  "sg": "No. 123",
  "total_magnetization_mub_per_fu": 0.0,
  "volume_a3_per_cell": 97.4,
  "lattice_angstrom": [[3.141, 0.000, 0.000], [0.000, 3.141, 0.000], [0.000, 0.000, 9.871]],
  "species": ["Hg", "Te", "Te", "Cl"],
  "fractional_positions": [[0.000, 0.000, 0.000], [0.500, 0.500, 0.270], [0.500, 0.500, 0.730], [0.000, 0.000, 0.500]]
}

=====

Model B:
{
  "formula": "HgTe2Cl",
  "functional": "SCAN",
  "state": "PBEsol geometry",
  "dos_ef_per_ev_atom": 0.460,
  "sg": "No. 139",
  "total_magnetization_mub_per_fu": 0.0,
  "volume_a3_per_cell": 115.5,
  "lattice_angstrom": [[-2.060, 2.060, 6.804], [2.060, -2.060, 6.804], [2.060, 2.060, -6.804]],
  "species": ["Hg", "Te", "Te", "Cl"],
  "fractional_positions": [[0.000, 0.000, 0.000], [0.250, 0.750, 0.500], [0.750, 0.250, 0.500], [0.500, 0.500, 0.000]]
}

=====

Model C:
{
  "formula": "HgTe2Cl",
  "functional": "SCAN",
  "state": "PBEsol geometry",
  "dos_ef_per_ev_atom": 0.240,
  "sg": "No. 12",
  "total_magnetization_mub_per_fu": 0.0,
  "volume_a3_per_cell": 107.2,
  "lattice_angstrom": [[5.912, -1.852, 0.000], [5.912, 1.852, 0.000], [-1.027, 0.000, 4.897]],
  "species": ["Hg", "Te", "Te", "Cl"],
  "fractional_positions": [[0.000, 0.000, 0.000], [0.303, 0.303, 0.830], [0.697, 0.697, 0.170], [0.500, 0.500, 0.500]]
}

=====

Model D:
{
  "formula": "HgTe2Cl",
  "functional": "SCAN",
  "state": "PBEsol geometry",
  "dos_ef_per_ev_atom": 0.489,
  "sg": "No. 12",
  "total_magnetization_mub_per_fu": 0.0,
  "volume_a3_per_cell": 97.7,
  "lattice_angstrom": [[3.202, -4.915, 0.000], [3.202, 4.915, 0.000], [-1.127, 0.000, 3.104]],
  "species": ["Hg", "Te", "Te", "Cl"],
  "fractional_positions": [[0.000, 0.000, 0.000], [0.000, 0.500, 0.500], [0.500, 0.000, 0.500], [0.500, 0.500, 0.000]]
}

=====

Which is the most stable structure? model C is the most stable.

=====

Model A:
{
  "formula": "HgTeCl",
  "functional": "SCAN",
  "state": "PBEsol geometry",
  "dos_ef_per_ev_atom": 0.462,
  "sg": "No. 107",
  "total_magnetization_mub_per_fu": 0.0,
  "volume_a3_per_cell": 74.1,
  "lattice_angstrom": [[-1.674, 1.674, 6.613], [1.674, -1.674, 6.613], [1.674, 1.674, -6.613]],
  "species": ["Hg", "Te", "Cl"],
  "fractional_positions": [[0.000, 0.000, 0.000], [0.661, 0.661, 0.000], [0.378, 0.378, 0.000]]
}

=====

Model B:
{
  "formula": "HgTeCl",
  "functional": "SCAN",
  "state": "PBEsol geometry",
  "dos_ef_per_ev_atom": 1.380,
  "sg": "No. 216",
  "total_magnetization_mub_per_fu": 0.0,
  "volume_a3_per_cell": 82.5,
  "lattice_angstrom": [[0.000, 3.455, 3.455], [3.455, 0.000, 3.455], [3.455, 3.455, 0.000]],
  "species": ["Hg", "Te", "Cl"],
  "fractional_positions": [[0.000, 0.000, 0.000], [0.750, 0.750, 0.750], [0.250, 0.250, 0.250]]
}

=====

Which is the most stable structure? model A is the most stable.

=====

Model A:
{
  "formula": "TlHg2Cl",
  "functional": "SCAN",
  "state": "PBEsol geometry",
  "dos_ef_per_ev_atom": 0.122,
  "sg": "No. 6",
  "total_magnetization_mub_per_fu": 0.0,
  "volume_a3_per_cell": 109.2,
  "lattice_angstrom": [[4.428, 0.000, 0.000], [0.000, 4.066, 0.000], [-2.176, 0.000, 6.064]],
  "species": ["Tl", "Hg", "Hg", "Cl"],
  "fractional_positions": [[0.000, 0.000, 0.000], [0.218, 0.500, 0.435], [0.737, 0.000, 0.475], [0.462, 0.500, 0.922]]
}

=====

Model B:
{
  "formula": "TlHg2Cl",
  "functional": "SCAN",
  "state": "PBEsol geometry",
  "dos_ef_per_ev_atom": 0.017,
  "sg": "No. 99",
  "total_magnetization_mub_per_fu": 0.0,
  "volume_a3_per_cell": 107.6,
  "lattice_angstrom": [[3.874, 0.000, 0.000], [0.000, 3.874, 0.000], [0.000, 0.000, 7.172]],
  "species": ["Tl", "Hg", "Hg", "Cl"],
  "fractional_positions": [[0.000, 0.000, 0.000], [0.000, 0.000, 0.479], [0.500, 0.500, 0.684], [0.500, 0.500, 0.188]]
}

=====

Which is the most stable structure? model A is the most stable.

=====

Model A:
{
  "formula": "TlHg2Cl",
  "functional": "SCAN",
  "state": "PBEsol geometry",
  "dos_ef_per_ev_atom": 0.087,
  "sg": "No. 123",
  "total_magnetization_mub_per_fu": 0.0,
  "volume_a3_per_cell": 105.3,
  "lattice_angstrom": [[4.330, 0.000, 0.000], [0.000, 4.330, 0.000], [0.000, 0.000, 5.617]],
  "species": ["Tl", "Hg", "Hg", "Cl"],
  "fractional_positions": [[0.000, 0.000, 0.000], [0.000, 0.500, 0.500], [0.500, 0.000, 0.500], [0.500, 0.500, 0.000]]
}

=====

Model B:
{
  "formula": "TlHg2Cl",
  "functional": "SCAN",
  "state": "PBEsol geometry",
  "dos_ef_per_ev_atom": 0.045,
  "sg": "No. 160",
  "total_magnetization_mub_per_fu": 0.0,
  "volume_a3_per_cell": 103.5,
  "lattice_angstrom": [[2.628, 1.517, 4.324], [-2.628, 1.517, 4.324], [0.000, -3.035, 4.324]],
  "species": ["Tl", "Hg", "Hg", "Cl"],
  "fractional_positions": [[0.000, 0.000, 0.000], [0.500, 0.500, 0.500], [0.751, 0.751, 0.751], [0.250, 0.250, 0.250]]
}

=====

Which is the most stable structure? model A is the most stable.

=====

Model A:
{
  "formula": "HgW2Cl",
  "functional": "SCAN",
  "state": "PBEsol geometry",
  "dos_ef_per_ev_atom": 0.861,
  "sg": "No. 65",
  "total_magnetization_mub_per_fu": 0.0,
  "volume_a3_per_cell": 69.1,
  "lattice_angstrom": [[2.749, -4.557, 0.000], [2.749, 4.557, 0.000], [0.000, 0.000, 2.756]],
  "species": ["Hg", "W", "W", "Cl"],
  "fractional_positions": [[0.000, 0.000, 0.000], [0.000, 0.500, 0.500], [0.500, 0.000, 0.500], [0.500, 0.500, 0.000]]
}

=====

Model B:
{
  "formula": "HgW2Cl",
  "functional": "SCAN",
  "state": "PBEsol geometry",
  "dos_ef_per_ev_atom": 0.681,
  "sg": "No. 12",
  "total_magnetization_mub_per_fu": 0.0,
  "volume_a3_per_cell": 70.8,
  "lattice_angstrom": [[2.704, -5.062, 0.000], [2.704, 5.062, 0.000], [-1.375, 0.000, 2.587]],
  "species": ["Hg", "W", "W", "Cl"],
  "fractional_positions": [[0.000, 0.000, 0.000], [0.000, 0.500, 0.000], [0.500, 0.000, 0.000], [0.500, 0.500, 0.000]]
}

=====

Model C:
{
  "formula": "HgW2Cl",
  "functional": "SCAN",
  "state": "PBEsol geometry",
  "dos_ef_per_ev_atom": 0.791,
  "sg": "No. 99",
  "total_magnetization_mub_per_fu": 0.0,
  "volume_a3_per_cell": 74.7,
  "lattice_angstrom": [[2.871, 0.000, 0.000], [0.000, 2.871, 0.000], [0.000, 0.000, 9.060]],
  "species": ["Hg", "W", "W", "Cl"],
  "fractional_positions": [[0.000, 0.000, 0.000], [0.000, 0.000, 0.452], [0.500, 0.500, 0.244], [0.500, 0.500, 0.634]]
}

=====

Which is the most stable structure? model C is the most stable.

=====

Model A:
{
  "formula": "HgWCl2",
  "functional": "SCAN",
  "state": "PBEsol geometry",
  "dos_ef_per_ev_atom": 0.424,
  "sg": "No. 35",
  "total_magnetization_mub_per_fu": 0.7,
  "volume_a3_per_cell": 80.8,
  "lattice_angstrom": [[1.532, -2.836, 0.000], [1.532, 2.836, 0.000], [0.000, 0.000, 9.295]],
  "species": ["Hg", "W", "Cl", "Cl"],
  "fractional_positions": [[0.000, 0.000, 0.000], [0.500, 0.500, 0.251], [0.000, 0.000, 0.447], [0.500, 0.500, 0.782]]
}

=====

Model B:
{
  "formula": "HgWCl2",
  "functional": "SCAN",
  "state": "PBEsol geometry",
  "dos_ef_per_ev_atom": 0.823,
  "sg": "No. 216",
  "total_magnetization_mub_per_fu": 4.0,
  "volume_a3_per_cell": 79.4,
  "lattice_angstrom": [[0.000, 3.411, 3.411], [3.411, 0.000, 3.411], [3.411, 3.411, 0.000]],
  "species": ["Hg", "W", "Cl", "Cl"],
  "fractional_positions": [[0.000, 0.000, 0.000], [0.250, 0.250, 0.250], [0.500, 0.500, 0.500], [0.750, 0.750, 0.750]]
}

=====

Which is the most stable structure? model A is the most stable.

=====

Model A:
{
  "formula": "HgWCl2",
  "functional": "SCAN",
  "state": "PBEsol geometry",
  "dos_ef_per_ev_atom": 0.543,
  "sg": "No. 123",
  "total_magnetization_mub_per_fu": 0.0,
  "volume_a3_per_cell": 79.5,
  "lattice_angstrom": [[2.987, 0.000, 0.000], [0.000, 2.987, 0.000], [0.000, 0.000, 8.917]],
  "species": ["Hg", "W", "Cl", "Cl"],
  "fractional_positions": [[0.000, 0.000, 0.000], [0.000, 0.000, 0.500], [0.500, 0.500, 0.336], [0.500, 0.500, 0.664]]
}

=====

Model B:
{
  "formula": "HgWCl2",
  "functional": "SCAN",
  "state": "PBEsol geometry",
  "dos_ef_per_ev_atom": 0.695,
  "sg": "No. 44",
  "total_magnetization_mub_per_fu": 0.0,
  "volume_a3_per_cell": 85.3,
  "lattice_angstrom": [[-1.457, 2.170, 6.743], [1.457, -2.170, 6.743], [1.457, 2.170, -6.743]],
  "species": ["Hg", "W", "Cl", "Cl"],
  "fractional_positions": [[0.000, 0.000, 0.000], [0.187, 0.687, 0.500], [0.328, 0.328, 0.000], [0.666, 0.166, 0.500]]
}

=====

Which is the most stable structure? model B is the most stable.

=====

Model A:
{
  "formula": "Hg2WCl",
  "functional": "SCAN",
  "state": "PBEsol geometry",
  "dos_ef_per_ev_atom": 0.311,
  "sg": "No. 38",
  "total_magnetization_mub_per_fu": 0.0,
  "volume_a3_per_cell": 74.2,
  "lattice_angstrom": [[4.367, 0.000, 0.000], [0.000, 1.536, 5.536], [0.000, -1.536, 5.536]],
  "species": ["Hg", "Hg", "W", "Cl"],
  "fractional_positions": [[0.000, 0.000, 0.000], [0.500, 0.351, 0.351], [0.000, 0.737, 0.737], [0.500, 0.627, 0.627]]
}

=====

Model B:
{
  "formula": "Hg2WCl",
  "functional": "SCAN",
  "state": "PBEsol geometry",
  "dos_ef_per_ev_atom": 0.549,
  "sg": "No. 99",
  "total_magnetization_mub_per_fu": 0.0,
  "volume_a3_per_cell": 81.3,
  "lattice_angstrom": [[2.921, 0.000, 0.000], [0.000, 2.921, 0.000], [0.000, 0.000, 9.527]],
  "species": ["Hg", "Hg", "W", "Cl"],
  "fractional_positions": [[0.000, 0.000, 0.000], [0.500, 0.500, 0.282], [0.000, 0.000, 0.502], [0.500, 0.500, 0.657]]
}

=====

Model C:
{
  "formula": "Hg2WCl",
  "functional": "SCAN",
  "state": "PBEsol geometry",
  "dos_ef_per_ev_atom": 0.551,
  "sg": "No. 139",
  "total_magnetization_mub_per_fu": 3.2,
  "volume_a3_per_cell": 77.9,
  "lattice_angstrom": [[-1.989, 1.989, 4.923], [1.989, -1.989, 4.923], [1.989, 1.989, -4.923]],
  "species": ["Hg", "Hg", "W", "Cl"],
  "fractional_positions": [[0.250, 0.750, 0.500], [0.750, 0.250, 0.500], [0.000, 0.000, 0.000], [0.500, 0.500, 0.000]]
}

=====

Which is the most stable structure? model B is the most stable.

=====

Model A:
{
  "formula": "YHgCl2",
  "functional": "SCAN",
  "state": "PBEsol geometry",
  "dos_ef_per_ev_atom": 0.121,
  "sg": "No. 10",
  "total_magnetization_mub_per_fu": 0.0,
  "volume_a3_per_cell": 125.5,
  "lattice_angstrom": [[3.649, 0.000, 0.000], [0.000, 3.862, 0.000], [-0.022, 0.000, 8.906]],
  "species": ["Y", "Hg", "Cl", "Cl"],
  "fractional_positions": [[0.000, 0.000, 0.000], [0.500, 0.000, 0.500], [0.004, 0.500, 0.803], [0.996, 0.500, 0.197]]
}

=====

Model B:
{
  "formula": "YHgCl2",
  "functional": "SCAN",
  "state": "PBEsol geometry",
  "dos_ef_per_ev_atom": 0.424,
  "sg": "No. 47",
  "total_magnetization_mub_per_fu": 0.0,
  "volume_a3_per_cell": 87.4,
  "lattice_angstrom": [[4.080, 0.000, 0.000], [0.000, 4.358, 0.000], [0.000, 0.000, 4.916]],
  "species": ["Y", "Hg", "Cl", "Cl"],
  "fractional_positions": [[0.000, 0.000, 0.000], [0.500, 0.000, 0.500], [0.000, 0.500, 0.500], [0.500, 0.500, 0.000]]
}

=====

Which is the most stable structure? model A is the most stable.

=====

Model A:
{
  "formula": "ZnHg2Cl",
  "functional": "SCAN",
  "state": "PBEsol geometry",
  "dos_ef_per_ev_atom": 0.165,
  "sg": "No. 12",
  "total_magnetization_mub_per_fu": 0.0,
  "volume_a3_per_cell": 88.4,
  "lattice_angstrom": [[3.203, -1.862, 0.000], [3.203, 1.862, 0.000], [-2.161, 0.000, 7.413]],
  "species": ["Zn", "Hg", "Hg", "Cl"],
  "fractional_positions": [[0.000, 0.000, 0.000], [0.257, 0.257, 0.774], [0.743, 0.743, 0.226], [0.500, 0.500, 0.500]]
}

=====

Model B:
{
  "formula": "ZnHg2Cl",
  "functional": "SCAN",
  "state": "PBEsol geometry",
  "dos_ef_per_ev_atom": 0.173,
  "sg": "No. 123",
  "total_magnetization_mub_per_fu": 0.0,
  "volume_a3_per_cell": 81.7,
  "lattice_angstrom": [[3.285, 0.000, 0.000], [0.000, 3.285, 0.000], [0.000, 0.000, 7.566]],
  "species": ["Zn", "Hg", "Hg", "Cl"],
  "fractional_positions": [[0.000, 0.000, 0.000], [0.500, 0.500, 0.231], [0.500, 0.500, 0.769], [0.000, 0.000, 0.500]]
}

=====

Which is the most stable structure? model A is the most stable.

=====

Model A:
{
  "formula": "ZnHgCl2",
  "functional": "SCAN",
  "state": "PBEsol geometry",
  "dos_ef_per_ev_atom": 0.282,
  "sg": "No. 216",
  "total_magnetization_mub_per_fu": 0.0,
  "volume_a3_per_cell": 80.2,
  "lattice_angstrom": [[0.000, 3.423, 3.423], [3.423, 0.000, 3.423], [3.423, 3.423, 0.000]],
  "species": ["Zn", "Hg", "Cl", "Cl"],
  "fractional_positions": [[0.000, 0.000, 0.000], [0.250, 0.250, 0.250], [0.500, 0.500, 0.500], [0.750, 0.750, 0.750]]
}

=====

Model B:
{
  "formula": "ZnHgCl2",
  "functional": "SCAN",
  "state": "PBEsol geometry",
  "dos_ef_per_ev_atom": 0.434,
  "sg": "No. 12",
  "total_magnetization_mub_per_fu": 0.0,
  "volume_a3_per_cell": 92.1,
  "lattice_angstrom": [[3.431, -3.842, 0.000], [3.431, 3.842, 0.000], [-1.846, 0.000, 3.494]],
  "species": ["Zn", "Hg", "Cl", "Cl"],
  "fractional_positions": [[0.000, 0.000, 0.000], [0.500, 0.500, 0.000], [0.000, 0.500, 0.500], [0.500, 0.000, 0.500]]
}

=====

Which is the most stable structure? model B is the most stable.